Entry 1:
First-principles (meta-GGA SCAN) data for a crystal of FeTc2Ir relaxed with PBEsol, as listed in Alexandria.

The structure in extended XYZ format:
```
4
Lattice="-3.079 1.953 -0.690 -1.784 -1.873 2.661 3.501 2.542 1.548" Properties=species:S:1:pos:R:3 pbc="T T T"
Fe -2.432 0.040 0.985
Ir 0.000 0.000 0.000
Tc -1.005 2.267 0.922
Tc -0.357 0.355 2.598
```

Electronic total energy ... -39.901 eV/atom
E_form ... -24 kJ/mol of formula units

Entry 2:
First-principles (meta-GGA SCAN) data for a crystal of Li2Mn3WO8 relaxed with PBEsol, as listed in Alexandria.

The structure in extended XYZ format:
```
14
Lattice="-1.109 -2.260 5.357 -4.689 -3.520 0.815 0.873 -5.919 0.954" Properties=species:S:1:pos:R:3 pbc="T T T"
Li -0.255 -4.314 1.397
Li -4.670 -7.385 5.729
Mn -2.345 -1.760 0.407
Mn -2.899 -2.890 3.086
Mn -0.554 -1.130 2.679
W -2.463 -5.850 3.563
O -1.418 -2.660 1.855
O -3.507 -9.040 5.271
O -3.055 -7.510 2.740
O -0.927 -5.913 2.370
O -1.430 -6.938 4.801
O -3.495 -4.761 2.325
O -3.998 -5.787 4.756
O -1.870 -4.189 4.386
```

Electronic total energy ... -14.965 eV/atom
Raw formation energy ... -2173 meV per atom

Entry 3:
First-principles (meta-GGA SCAN) data for a crystal of ScTe2Rh relaxed with PBEsol, as listed in Alexandria.

The structure in extended XYZ format:
```
4
Lattice="3.790 0.000 0.000 0.000 4.255 0.000 -1.895 -2.127 6.465" Properties=species:S:1:pos:R:3 pbc="T T T"
Rh 1.895 0.000 0.000
Sc 0.000 2.127 0.000
Te 1.895 2.127 4.563
Te 0.000 0.000 1.902
```

Electronic total energy ... -31.483 eV/atom
Raw formation energy ... -855 meV per atom

Entry 4:
First-principles (meta-GGA SCAN) data for a crystal of Si3GeMo relaxed with PBEsol, as listed in Alexandria.

The structure in extended XYZ format:
```
5
Lattice="-0.328 -4.597 -0.382 0.358 -0.407 4.592 -4.599 0.296 0.385" Properties=species:S:1:pos:R:3 pbc="T T T"
Mo -2.284 -2.354 2.298
Si 0.179 -0.204 2.296
Si -2.299 0.148 0.193
Si -0.164 -2.298 -0.191
Ge 0.000 0.000 0.000
```

Electronic total energy ... -15.224 eV/atom
Raw formation energy ... 1580 meV per atom